No. 1
DFT (PBE) results for a relaxed structure of TbPrSmSc.

Output
E ... -5.010 eV per atom
Symmetry ... Cm
ΔH_f (0 K) ... 0.10 eV/atom
Energy above the lowest structure with this stoichiometry ... 0.0 kJ/mol of atoms

a b c (Å): 3.7972 5.7199 6.7862
angles (deg): 114.93 73.61 90.00
Fractional positions:
1 Pr 0.6581 0.4128 0.8255
2 Sm 0.4127 0.1375 0.2751
3 Sc 0.9177 0.6439 0.2879
4 Tb 0.1974 0.8704 0.7409



No. 2
DFT (PBE) results for a relaxed structure of Tb2PrSm4Sc.

Output
E ... -4.878 eV per atom
Symmetry ... P4/mmm
ΔH_f (0 K) ... 0.03 eV/atom

a b c (Å): 5.0567 11.3140 5.0498
angles (deg): 63.50 90.00 90.00
Fractional positions:
1 Tb 0.5000 0.0000 0.5000
2 Tb 0.0000 0.0000 0.0000
3 Sm 0.0000 0.7476 0.7523
4 Sm 0.5000 0.7479 0.2518
5 Sm 0.0000 0.2524 0.2477
6 Sm 0.5000 0.2521 0.7482
7 Pr 0.5000 0.5000 0.0000
8 Sc 0.0000 0.5000 0.5000



No. 3
DFT (PBE) results for a relaxed structure of Tb2Pr5SmSc.

Output
E ... -4.789 eV per atom
Symmetry ... Cmcm
ΔH_f (0 K) ... 0.12 eV/atom

a b c (Å): 5.4338 11.3594 10.3413
angles (deg): 90.00 90.00 103.84
Fractional positions:
1 Tb 0.8840 0.7681 0.2598
2 Tb 0.8840 0.7681 0.7566
3 Tb 0.1160 0.2319 0.2566
4 Tb 0.1160 0.2319 0.7598
5 Pr 0.2782 0.5564 0.6960
6 Pr 0.7218 0.4437 0.8206
7 Pr 0.5000 0.0000 0.7581
8 Pr 0.7218 0.4436 0.1960
9 Pr 0.9988 0.9976 0.0081
10 Pr 0.5000 0.0000 0.2581
11 Pr 0.2782 0.5563 0.3206
12 Pr 0.6270 0.2540 0.5082
13 Pr 0.3730 0.7460 0.0082
14 Pr 0.0012 0.0024 0.5081
15 Sm 0.6017 0.2034 0.0082
16 Sm 0.3983 0.7966 0.5082
17 Sc 0.7867 0.5734 0.5083
18 Sc 0.2133 0.4266 0.0083



No. 4
DFT (PBE) results for a relaxed structure of Tb3Pr2Sm6Sc.

Output
E ... -4.816 eV per atom
Symmetry ... C2/m
ΔH_f (0 K) ... 0.03 eV/atom

a b c (Å): 6.2266 6.2266 11.9332
angles (deg): 95.00 95.00 119.98
Fractional positions:
1 Sm 0.4122 0.0830 0.2508
2 Sm 0.7534 0.7534 0.2513
3 Sm 0.5878 0.9170 0.7492
4 Sm 0.0830 0.4122 0.2508
5 Sm 0.2466 0.2466 0.7487
6 Sm 0.9170 0.5878 0.7492
7 Sc 0.0000 0.0000 0.0000
8 Tb 0.1662 0.8338 0.5000
9 Tb 0.8338 0.1662 0.5000
10 Tb 0.5000 0.5000 0.5000
11 Pr 0.6666 0.3334 0.0000
12 Pr 0.3334 0.6666 0.0000



In order of appearance, total magnetic moment = 0.00 0.00 0.00 0.00 Bohr magnetons per cell.
In order of appearance, DOS(E_F) = 1.77 1.43 1.50 1.34 states/eV/atom.